1.
The following is a DFT calculation (GGA-PBE) of a relaxed Tb6SnHg2 crystal.

a b c (Å): 8.8820 8.8820 8.8820
angles (deg): 101.09 112.51 115.14
Fractional coordinates of all 18 atoms:
Tb: 0.5228 0.7115 0.8112
Tb: 0.4772 0.2885 0.1888
Tb: 0.0997 0.2885 0.8112
Tb: 0.9003 0.7115 0.1888
Tb: 0.8042 0.7670 0.5713
Tb: 0.1958 0.2330 0.4287
Tb: 0.1958 0.7670 0.9628
Tb: 0.8042 0.2330 0.0372
Tb: 0.7051 0.3784 0.6733
Tb: 0.2949 0.6216 0.3267
Tb: 0.2949 0.9682 0.6733
Tb: 0.7051 0.0318 0.3267
Sn: 0.0000 0.5000 0.5000
Sn: 0.0000 0.0000 0.0000
Hg: 0.5000 0.3698 0.8698
Hg: 0.5000 0.6302 0.1302
Hg: 0.6571 0.0000 0.6571
Hg: 0.3429 0.0000 0.3429

Output
Raw total energy (eV per atom): -3.94
ΔH_f (0 K) (eV/atom): -0.3397
Calculated volume (Å³ per atom): 29.48

2.
The following is a DFT calculation (GGA-PBE) of a relaxed Ca4Mg2Cu crystal.

a b c (Å): 10.3129 10.3129 10.3129
angles (deg): 139.17 139.17 59.12
Fractional coordinates of all 14 atoms:
Ca: 0.0166 0.5166 0.8510
Ca: 0.6656 0.1656 0.1490
Ca: 0.1656 0.0166 0.5000
Ca: 0.5166 0.6656 0.5000
Ca: 0.4834 0.3344 0.5000
Ca: 0.8344 0.9834 0.5000
Ca: 0.3344 0.8344 0.8510
Ca: 0.9834 0.4834 0.1490
Mg: 0.6473 0.1473 0.7946
Mg: 0.3527 0.8527 0.2054
Mg: 0.8527 0.6473 0.5000
Mg: 0.1473 0.3527 0.5000
Cu: 0.7500 0.7500 0.0000
Cu: 0.2500 0.2500 0.0000

Output
Raw total energy (eV per atom): -2.12
ΔH_f (0 K) (eV/atom): 0.0646
Calculated volume (Å³ per atom): 33.17

3.
The following is a DFT calculation (GGA-PBE) of a relaxed LiNb2TlBr crystal.

a b c (Å): 4.7478 4.6030 4.7478
angles (deg): 90.00 90.00 90.00
Fractional coordinates of all 5 atoms:
Tl: 0.0000 0.5000 0.0000
Nb: 0.0000 0.0000 0.5000
Nb: 0.5000 0.0000 0.0000
Br: 0.5000 0.5000 0.5000
Li: 0.0000 0.0000 0.0000

Output
Raw total energy (eV per atom): -4.04
Formation energy without anion corrections (eV per formula unit): 5.9
Calculated volume (Å³ per atom): 20.75

4.
The following is a DFT calculation (GGA-PBE) of a relaxed PmTmPu2P4 crystal.

a b c (Å): 4.0230 6.9486 6.9342
angles (deg): 109.67 90.00 90.00
Fractional coordinates of all 8 atoms:
Pm: 0.0000 0.0000 0.0000
Tm: 0.5000 0.5000 0.0000
Pu: 0.5000 0.0000 0.5000
Pu: 0.0000 0.5000 0.5000
P: 0.5000 0.2599 0.2586
P: 0.5000 0.7401 0.7414
P: 0.0000 0.2533 0.7459
P: 0.0000 0.7467 0.2541

Output
Raw total energy (eV per atom): -8.77
ΔH_f (0 K) (eV/atom): -1.3274
Calculated volume (Å³ per atom): 22.82